Compound: K3Ho3CrO8
Source: Alexandria
Functional: PBE with a Hubbard U
Structure: optimized geometry

Summary:
- density (Mg/m³) = 5.418
- uncorrected energy (eV per cell) = -102.12
- size of the total moment (μB/atom) = 0.132

Cell lengths 7.3700, 7.3700, 7.3700 Å; angles 53.91, 53.91, 53.91 degrees
Atoms (fractional coordinates):
K: 0.0000 0.5000 0.5000
K: 0.5000 0.0000 0.5000
K: 0.5000 0.5000 0.0000
Ho: 0.0000 0.0000 0.5000
Ho: 0.0000 0.5000 0.0000
Ho: 0.5000 0.0000 0.0000
Cr: 0.5000 0.5000 0.5000
O: 0.2275 0.2275 0.2275
O: 0.2581 0.7060 0.7060
O: 0.2940 0.2940 0.7419
O: 0.2940 0.7419 0.2940
O: 0.7060 0.2581 0.7060
O: 0.7060 0.7060 0.2581
O: 0.7419 0.2940 0.2940
O: 0.7725 0.7725 0.7725